A) # Li2Ca3Al | the Alexandria database | GGA-PBE | relaxed
# total moment	0.00	Bohr magnetons per cell
# DOS at the Fermi energy	1.029	states/eV per atom
data_Li2Ca3Al
_space_group_name_H-M_alt 'P 4/m m m'
_space_group_IT_number 123
_space_group_name_Hall '-P 4 2'
_cell_length_a 3.830
_cell_length_b 3.830
_cell_length_c 11.883
_cell_angle_alpha 90.00
_cell_angle_beta 90.00
_cell_angle_gamma 90.00
loop_
_atom_site_label
_atom_site_fract_x
_atom_site_fract_y
_atom_site_fract_z
Li1 0.000 0.000 0.177
Ca1 0.500 0.500 0.000
Ca2 0.500 0.500 0.349
Al1 0.000 0.000 0.500

---

B) # Li2Ca3Al | the Alexandria database | GGA-PBE | relaxed
# total moment	0.00	Bohr magnetons per cell
# DOS at the Fermi energy	0.841	states/eV per atom
data_Li2Ca3Al
_space_group_name_H-M_alt 'P -3 m 1'
_space_group_IT_number 164
_space_group_name_Hall '-P 3 2"'
_cell_length_a 5.4294
_cell_length_b 5.4294
_cell_length_c 13.3750
_cell_angle_alpha 90.00
_cell_angle_beta 90.00
_cell_angle_gamma 120.00
loop_
_atom_site_label
_atom_site_fract_x
_atom_site_fract_y
_atom_site_fract_z
Li1 0.0000 0.0000 0.0000
Li2 0.0000 0.0000 0.5000
Li3 0.3333 0.6667 0.1767
Ca1 0.0000 0.0000 0.2598
Ca2 0.3333 0.6667 0.4197
Ca3 0.3333 0.6667 0.9091
Al1 0.3333 0.6667 0.6654

---

Stability ranking, top entry: B); the second entry is 0.024 eV/atom less favorable.